# BaBiO3

A geometry-optimized BaBiO3 structure (GGA-PBEsol, Alexandria).

Lattice parameters (Å, degrees): 6.1955 6.1591 10.6433 90.00 125.27 90.00
With the nearest neighbours (Å) after each atom.
Fractional positions:
Ba  0.2416  0.0161  0.2492  6 O 2.69-2.95
Ba  0.2416  0.4839  0.7492  6 O 2.69-2.95
Ba  0.7584  0.5161  0.2508  6 O 2.69-2.95
Ba  0.7584  0.9839  0.7508  6 O 2.69-2.95
Bi  0.0000  0.0000  0.5000  6 O 2.15
Bi  0.0000  0.5000  0.0000  6 O 2.15
Bi  0.5000  0.0000  0.0000  6 O 2.28-2.29
Bi  0.5000  0.5000  0.5000  6 O 2.28-2.29
O  0.1827  0.2394  0.9585  2 Bi 2.15-2.29
O  0.1827  0.2606  0.4585  2 Bi 2.15-2.29
O  0.2168  0.7274  0.9594  2 Bi 2.15-2.28
O  0.2168  0.7726  0.4594  2 Bi 2.15-2.28
O  0.3157  0.0114  0.7417  2 Bi 2.15-2.29
O  0.3157  0.4886  0.2417  2 Bi 2.15-2.29
O  0.6843  0.5114  0.7583  2 Bi 2.15-2.29
O  0.6843  0.9886  0.2583  2 Bi 2.15-2.29
O  0.7832  0.2274  0.5406  2 Bi 2.15-2.28
O  0.7832  0.2726  0.0406  2 Bi 2.15-2.28
O  0.8173  0.7394  0.5415  2 Bi 2.15-2.29
O  0.8173  0.7606  0.0415  2 Bi 2.15-2.29

Calculated values
**E_form (uncorrected)**: -1.851 eV per atom
**Calculated density**: 7.90 g cm⁻³

***

# In2SF

A geometry-optimized In2SF structure (GGA-PBEsol, Alexandria).

Lattice parameters (Å, degrees): 6.7124 6.7124 6.7124 90.00 90.00 90.00
With the nearest neighbours (Å) after each atom.
Fractional positions:
In  0.2500  0.2500  0.2500  4 S 2.91, 4 F 2.91
In  0.2500  0.2500  0.7500  4 S 2.91, 4 F 2.91
In  0.2500  0.7500  0.2500  4 S 2.91, 4 F 2.91
In  0.2500  0.7500  0.7500  4 S 2.91, 4 F 2.91
In  0.7500  0.2500  0.2500  4 S 2.91, 4 F 2.91
In  0.7500  0.2500  0.7500  4 S 2.91, 4 F 2.91
In  0.7500  0.7500  0.2500  4 S 2.91, 4 F 2.91
In  0.7500  0.7500  0.7500  4 S 2.91, 4 F 2.91
S  0.0000  0.0000  0.0000  8 In 2.91
S  0.0000  0.5000  0.5000  8 In 2.91
S  0.5000  0.0000  0.5000  8 In 2.91
S  0.5000  0.5000  0.0000  8 In 2.91
F  0.0000  0.0000  0.5000  8 In 2.91
F  0.0000  0.5000  0.0000  8 In 2.91
F  0.5000  0.0000  0.0000  8 In 2.91
F  0.5000  0.5000  0.5000  8 In 2.91

Calculated values
**E_form (uncorrected)**: -0.812 eV per atom
**Calculated density**: 6.16 g cm⁻³

***

# CeSn2Pd2

A geometry-optimized CeSn2Pd2 structure (GGA-PBEsol, Alexandria).

Lattice parameters (Å, degrees): 4.5176 4.5176 10.5430 90.00 90.00 90.00
With the nearest neighbours (Å) after each atom.
Fractional positions:
Ce  0.2500  0.2500  0.2421  8 Pd 3.41-3.47, 8 Sn 3.41-3.53
Ce  0.7500  0.7500  0.7579  8 Pd 3.41-3.47, 8 Sn 3.41-3.53
Sn  0.2500  0.2500  0.8715  5 Pd 2.55-2.63
Sn  0.2500  0.7500  0.5000  4 Pd 2.64
Sn  0.7500  0.2500  0.5000  4 Pd 2.64
Sn  0.7500  0.7500  0.1285  5 Pd 2.55-2.63
Pd  0.2500  0.2500  0.6297  5 Sn 2.55-2.64
Pd  0.2500  0.7500  0.0000  4 Sn 2.63
Pd  0.7500  0.2500  0.0000  4 Sn 2.63
Pd  0.7500  0.7500  0.3703  5 Sn 2.55-2.64

Calculated values
**Formation energy from the elements**: -0.7051 eV/atom
**Calculated density**: 9.11 g cm⁻³

***

# Lu3Pt4

A geometry-optimized Lu3Pt4 structure (GGA-PBEsol, Alexandria).

Lattice parameters (Å, degrees): 7.5781 7.5781 7.5781 114.15 114.15 114.15
With the nearest neighbours (Å) after each atom.
Fractional positions:
Lu  0.0226  0.2766  0.4043  8 Pt 2.78-3.01
Lu  0.2766  0.4043  0.0226  8 Pt 2.78-3.01
Lu  0.4043  0.0226  0.2766  8 Pt 2.78-3.01
Lu  0.5957  0.9774  0.7234  8 Pt 2.78-3.01
Lu  0.7234  0.5957  0.9774  8 Pt 2.78-3.01
Lu  0.9774  0.7234  0.5957  8 Pt 2.78-3.01
Pt  0.0000  0.0000  0.0000  2 Pt 2.80, 6 Lu 2.80
Pt  0.0647  0.5489  0.2301  6 Lu 2.78-3.01, 3 Pt 2.86-2.91
Pt  0.2301  0.0647  0.5489  6 Lu 2.78-3.01, 3 Pt 2.86-2.91
Pt  0.4510  0.7699  0.9353  6 Lu 2.78-3.01, 3 Pt 2.86-2.91
Pt  0.5000  0.5000  0.5000  2 Pt 2.80, 6 Lu 2.88
Pt  0.5490  0.2301  0.0647  6 Lu 2.78-3.01, 3 Pt 2.86-2.91
Pt  0.7699  0.9353  0.4510  6 Lu 2.78-3.01, 3 Pt 2.86-2.91
Pt  0.9353  0.4510  0.7699  6 Lu 2.78-3.01, 3 Pt 2.86-2.91

Calculated values
**Formation energy from the elements**: -1.2605 eV/atom
**Calculated density**: 16.58 g cm⁻³

***

# BeCr2B2

A geometry-optimized BeCr2B2 structure (GGA-PBEsol, Alexandria).

Lattice parameters (Å, degrees): 5.2696 5.2696 2.9044 90.00 90.00 90.00
With the nearest neighbours (Å) after each atom.
Fractional positions:
Be  0.0000  0.0000  0.0000  4 B 2.11
Be  0.5000  0.5000  0.0000  4 B 2.11
Cr  0.1758  0.3242  0.5000  6 B 2.12-2.14
Cr  0.3242  0.8242  0.5000  6 B 2.12-2.14
Cr  0.6758  0.1758  0.5000  6 B 2.12-2.14
Cr  0.8242  0.6758  0.5000  6 B 2.12-2.14
B  0.1174  0.6174  0.0000  1 B 1.75
B  0.3826  0.1174  0.0000  1 B 1.75
B  0.6174  0.8826  0.0000  1 B 1.75
B  0.8826  0.3826  0.0000  1 B 1.75

Calculated values
**Formation energy from the elements**: -0.4657 eV/atom
**Calculated density**: 5.54 g cm⁻³

***

# TaNbRe3

A geometry-optimized TaNbRe3 structure (GGA-PBEsol, Alexandria).

Lattice parameters (Å, degrees): 4.6396 4.6396 4.6396 90.00 90.00 90.00
With the nearest neighbours (Å) after each atom.
Fractional positions:
Ta  0.0000  0.0000  0.0000  6 Re 2.32
Nb  0.5000  0.5000  0.5000  12 Re 3.28
Re  0.0000  0.0000  0.5000  2 Ta 2.32
Re  0.0000  0.5000  0.0000  2 Ta 2.32
Re  0.5000  0.0000  0.0000  2 Ta 2.32

Calculated values
**Formation energy from the elements**: 2.1783 eV/atom
**Calculated density**: 13.84 g cm⁻³
**Distance to the lowest polymorph of the same formula**: 0.0 kJ per mole of atoms

***

# K3SnIr

A geometry-optimized K3SnIr structure (GGA-PBEsol, Alexandria).

Lattice parameters (Å, degrees): 6.5331 6.5331 6.5331 90.00 90.00 90.00
With the nearest neighbours (Å) after each atom.
Fractional positions:
K  0.0000  0.0000  0.5000  2 Sn 3.27
K  0.0000  0.5000  0.0000  2 Sn 3.27
K  0.5000  0.0000  0.0000  2 Sn 3.27
Sn  0.0000  0.0000  0.0000  6 K 3.27
Ir  0.5000  0.5000  0.5000  12 K 4.62

Calculated values
**Formation energy from the elements**: 1.3317 eV/atom
**Calculated density**: 2.55 g cm⁻³

***

# MgGa2

A geometry-optimized MgGa2 structure (GGA-PBEsol, Alexandria).

Lattice parameters (Å, degrees): 8.6222 5.1392 6.3453 90.00 128.55 90.00
With the nearest neighbours (Å) after each atom.
Fractional positions:
Mg  0.0000  0.1118  0.2500  10 Ga 2.89-2.93
Mg  0.0000  0.8882  0.7500  10 Ga 2.89-2.93
Mg  0.5000  0.3882  0.7500  10 Ga 2.89-2.93
Mg  0.5000  0.6118  0.2500  10 Ga 2.89-2.93
Ga  0.1622  0.3890  0.7498  5 Ga 2.80-2.98, 5 Mg 2.89-2.93
Ga  0.1622  0.6110  0.2498  5 Ga 2.80-2.98, 5 Mg 2.89-2.93
Ga  0.3378  0.1110  0.2502  5 Ga 2.80-2.98, 5 Mg 2.89-2.93
Ga  0.3378  0.8890  0.7502  5 Ga 2.80-2.98, 5 Mg 2.89-2.93
Ga  0.6622  0.1110  0.2498  5 Ga 2.80-2.98, 5 Mg 2.89-2.93
Ga  0.6622  0.8890  0.7498  5 Ga 2.80-2.98, 5 Mg 2.89-2.93
Ga  0.8378  0.3890  0.7502  5 Ga 2.80-2.98, 5 Mg 2.89-2.93
Ga  0.8378  0.6110  0.2502  5 Ga 2.80-2.98, 5 Mg 2.89-2.93

Calculated values
**Formation energy from the elements**: -0.1052 eV/atom
**Calculated density**: 4.95 g cm⁻³

***

# MgIn2C

A geometry-optimized MgIn2C structure (GGA-PBEsol, Alexandria).

Lattice parameters (Å, degrees): 6.7269 6.7269 6.7269 90.00 90.00 90.00
With the nearest neighbours (Å) after each atom.
Fractional positions:
Mg  0.0000  0.0000  0.0000  8 In 2.91
Mg  0.0000  0.5000  0.5000  8 In 2.91
Mg  0.5000  0.0000  0.5000  8 In 2.91
Mg  0.5000  0.5000  0.0000  8 In 2.91
In  0.2500  0.2500  0.2500  4 Mg 2.91, 4 C 2.91
In  0.2500  0.2500  0.7500  4 Mg 2.91, 4 C 2.91
In  0.2500  0.7500  0.2500  4 Mg 2.91, 4 C 2.91
In  0.2500  0.7500  0.7500  4 Mg 2.91, 4 C 2.91
In  0.7500  0.2500  0.2500  4 Mg 2.91, 4 C 2.91
In  0.7500  0.2500  0.7500  4 Mg 2.91, 4 C 2.91
In  0.7500  0.7500  0.2500  4 Mg 2.91, 4 C 2.91
In  0.7500  0.7500  0.7500  4 Mg 2.91, 4 C 2.91
C  0.0000  0.0000  0.5000  8 In 2.91
C  0.0000  0.5000  0.0000  8 In 2.91
C  0.5000  0.0000  0.0000  8 In 2.91
C  0.5000  0.5000  0.5000  8 In 2.91

Calculated values
**Formation energy from the elements**: 1.2115 eV/atom
**Calculated density**: 5.80 g cm⁻³

***

# ZnBi4O9

A geometry-optimized ZnBi4O9 structure (GGA-PBEsol, Alexandria).

Lattice parameters (Å, degrees): 8.0879 5.6581 11.2114 90.00 128.28 90.00
With the nearest neighbours (Å) after each atom.
Fractional positions:
Zn  0.0000  0.2097  0.2500  4 O 1.98-2.04
Zn  0.0000  0.7903  0.7500  4 O 1.98-2.04
Bi  0.2049  0.1861  0.0639  6 O 2.09-2.19
Bi  0.2049  0.8139  0.5639  6 O 2.09-2.19
Bi  0.3806  0.2771  0.8552  5 O 2.26-2.44
Bi  0.3806  0.7229  0.3552  5 O 2.26-2.44
Bi  0.6194  0.2771  0.6448  5 O 2.26-2.44
Bi  0.6194  0.7229  0.1448  5 O 2.26-2.44
Bi  0.7951  0.1861  0.4361  6 O 2.09-2.19
Bi  0.7951  0.8139  0.9361  6 O 2.09-2.19
O  0.1226  0.1468  0.6149  3 Bi 2.12-2.28
O  0.1226  0.8532  0.1149  3 Bi 2.12-2.28
O  0.1725  0.3805  0.2080  1 Zn 1.98, 1 Bi 2.10
O  0.1725  0.6195  0.7080  1 Zn 1.98, 1 Bi 2.10
O  0.2483  0.0109  0.4195  1 Zn 2.04, 1 Bi 2.17
O  0.2483  0.9891  0.9195  1 Zn 2.04, 1 Bi 2.17
O  0.3179  0.4561  0.0041  2 Bi 2.09-2.26
O  0.3179  0.5439  0.5041  2 Bi 2.09-2.26
O  0.5000  0.0364  0.2500  2 Bi 2.14
O  0.5000  0.9636  0.7500  2 Bi 2.14
O  0.6821  0.4561  0.4959  2 Bi 2.09-2.26
O  0.6821  0.5439  0.9959  2 Bi 2.09-2.26
O  0.7517  0.0109  0.0805  1 Zn 2.04, 1 Bi 2.17
O  0.7517  0.9891  0.5805  1 Zn 2.04, 1 Bi 2.17
O  0.8275  0.3805  0.2920  1 Zn 1.98, 1 Bi 2.10
O  0.8275  0.6195  0.7920  1 Zn 1.98, 1 Bi 2.10
O  0.8774  0.1468  0.8851  3 Bi 2.12-2.28
O  0.8774  0.8532  0.3851  3 Bi 2.12-2.28

Calculated values
**E_form (uncorrected)**: -1.039 eV per atom
**Calculated density**: 8.62 g cm⁻³